No. 1
First-principles (PBE) data for a relaxed Cr3RePt crystal, as listed in Alexandria.

Summary:
DFT formation energy   1569 meV/atom

a b c (Å): 4.429 4.429 4.429
angles (deg): 90.00 90.00 90.00
Space group Pm-3m (No. 221)
One atom of each set of equivalent atoms:
Cr (0.000, 0.000, 0.500) [3 per cell]
Re (0.000, 0.000, 0.000) [1 per cell]
Pt (0.500, 0.500, 0.500) [1 per cell]

---

No. 2
First-principles (PBE) data for a relaxed CaPrDy2Tl4 crystal, as listed in Alexandria.

Summary:
DFT formation energy   -369 meV/atom

a b c (Å): 5.4325 5.4325 26.8709
angles (deg): 90.00 90.00 120.00
Space group R-3m (No. 166, hexagonal axes)
One atom of each set of equivalent atoms:
Ca (0.0000, 0.0000, 0.0000) [3 per cell]
Pr (0.0000, 0.0000, 0.5000) [3 per cell]
Dy (0.0000, 0.0000, 0.2525) [6 per cell]
Tl (0.0000, 0.0000, 0.1245) [6 per cell]
Tl (0.0000, 0.0000, 0.3744) [6 per cell]

---

No. 3
First-principles (PBE) data for a relaxed TbTmRhAu crystal, as listed in Alexandria.

Summary:
DFT formation energy   -872 meV/atom

a b c (Å): 3.515 3.515 6.938
angles (deg): 90.00 90.00 90.00
Space group P4mm (No. 99)
One atom of each set of equivalent atoms:
Tb (0.000, 0.000, 0.000) [1 per cell]
Tm (0.000, 0.000, 0.526) [1 per cell]
Rh (0.500, 0.500, 0.757) [1 per cell]
Au (0.500, 0.500, 0.272) [1 per cell]

---

No. 4
First-principles (PBE) data for a relaxed SmHo4In2 crystal, as listed in Alexandria.

Summary:
DFT formation energy   -107 meV/atom

a b c (Å): 6.797 10.775 11.750
angles (deg): 90.00 90.00 90.00
Space group Fmmm (No. 69)
One atom of each set of equivalent atoms:
Sm (0.000, 0.000, 0.000) [4 per cell]
Ho (0.000, 0.167, 0.500) [8 per cell]
Ho (0.250, 0.250, 0.250) [8 per cell]
In (0.000, 0.000, 0.278) [8 per cell]

---

No. 5
First-principles (PBE) data for a relaxed AcLaPrLu crystal, as listed in Alexandria.

Summary:
DFT formation energy   161 meV/atom

a b c (Å): 8.416 8.416 8.416
angles (deg): 90.00 90.00 90.00
Space group F-43m (No. 216)
One atom of each set of equivalent atoms:
Ac (0.000, 0.000, 0.000) [4 per cell]
La (0.250, 0.250, 0.750) [4 per cell]
Pr (0.250, 0.250, 0.250) [4 per cell]
Lu (0.000, 0.000, 0.500) [4 per cell]

---

No. 6
First-principles (PBE) data for a relaxed SmYCdOs crystal, as listed in Alexandria.

Summary:
DFT formation energy   -155 meV/atom

a b c (Å): 7.176 7.176 7.176
angles (deg): 90.00 90.00 90.00
Space group F-43m (No. 216)
One atom of each set of equivalent atoms:
Sm (0.000, 0.000, 0.000) [4 per cell]
Y (0.000, 0.000, 0.500) [4 per cell]
Cd (0.250, 0.250, 0.750) [4 per cell]
Os (0.250, 0.250, 0.250) [4 per cell]

---

No. 7
First-principles (PBE) data for a relaxed Ac2HPt crystal, as listed in Alexandria.

Summary:
Raw total energy   -5.03 eV per atom

a b c (Å): 4.2427 4.2427 21.8654
angles (deg): 90.00 90.00 120.00
Space group R3m (No. 160, hexagonal axes)
One atom of each set of equivalent atoms:
Ac (0.0000, 0.0000, 0.0000) [3 per cell]
Ac (0.0000, 0.0000, 0.1729) [3 per cell]
H (0.0000, 0.0000, 0.4071) [3 per cell]
Pt (0.0000, 0.0000, 0.5849) [3 per cell]

---

No. 8
First-principles (PBE) data for a relaxed Sr2P crystal, as listed in Alexandria.

Summary:
DFT formation energy   -835 meV/atom

a b c (Å): 7.214 7.245 4.485
angles (deg): 90.00 90.00 90.00
Space group Pnnm (No. 58)
One atom of each set of equivalent atoms:
Sr (0.208, 0.194, 0.000) [4 per cell]
P (0.000, 0.000, 0.500) [2 per cell]